First-principles (meta-GGA SCAN) data for SrCd2Co at its PBEsol-relaxed geometry, as listed in the Alexandria database.

Cell lengths 3.481, 3.481, 7.248 Å; angles 90.00, 90.00, 90.00 degrees
Fractional coordinates of all 4 atoms:
Sr  0.000  0.000  0.000
Cd  0.000  0.000  0.571
Cd  0.500  0.500  0.334
Co  0.500  0.500  0.710

## Properties
Its formation energy is 0.1320 eV/atom.

***

First-principles (meta-GGA SCAN) data for SrCd2Co at its PBEsol-relaxed geometry, as listed in the Alexandria database.

Cell lengths 5.400, 5.400, 5.400 Å; angles 132.19, 132.19, 69.92 degrees
Fractional coordinates of all 4 atoms:
Sr  0.000  0.000  0.000
Cd  0.250  0.750  0.500
Cd  0.750  0.250  0.500
Co  0.500  0.500  0.000

## Properties
Its formation energy is 0.1972 eV/atom.